Computed, not measured: a geometry-optimized SrDyInBr6 structure at the PBE level of DFT.

Unit cell a=7.675 b=7.675 c=14.067 alpha=90.00 beta=90.00 gamma=120.00
Sites, in units of the cell vectors:
Br1 0.025 0.377 0.634
Br2 0.623 0.648 0.634
Br3 0.648 0.025 0.366
Br4 0.377 0.025 0.134
Br5 0.648 0.623 0.134
Br6 0.975 0.352 0.134
Br7 0.975 0.623 0.366
Br8 0.025 0.648 0.866
Br9 0.377 0.352 0.366
Br10 0.352 0.377 0.866
Br11 0.623 0.975 0.866
Br12 0.352 0.975 0.634
In1 0.000 0.000 0.000
In2 0.000 0.000 0.500
Sr1 0.667 0.333 0.750
Sr2 0.333 0.667 0.250
Dy1 0.333 0.667 0.750
Dy2 0.667 0.333 0.250

Results
Raw formation energy, kJ per mole of atoms: -164
Total magnetization, μB per formula unit: 0.0